1.
Density functional theory data (PBE-GGA) for a geometry-optimized Ac8TlIr4 structure.

Unit cell a=10.609 b=10.609 c=14.000 alpha=129.25 beta=129.25 gamma=23.94
Atoms (fractional coordinates):
Ac  0.000  0.000  0.000
Ac  0.037  0.037  0.753
Ac  0.082  0.082  0.492
Ac  0.331  0.331  0.664
Ac  0.413  0.413  0.167
Ac  0.663  0.663  0.339
Ac  0.707  0.707  0.078
Ac  0.745  0.745  0.831
Tl  0.372  0.372  0.415
Ir  0.034  0.034  0.241
Ir  0.227  0.227  0.954
Ir  0.517  0.517  0.877
Ir  0.711  0.711  0.590

Summary:
Electronic total energy ... -5.98 eV/atom
Formation enthalpy at 0 K ... -7.1 eV per formula unit

2.
Density functional theory data (PBE-GGA) for a geometry-optimized Ac2TlIr2 structure.

Unit cell a=6.031 b=6.031 c=6.031 alpha=135.39 beta=117.50 gamma=80.00
Atoms (fractional coordinates):
Ac  0.207  0.207  0.000
Ac  0.793  0.793  0.000
Tl  0.500  0.000  0.500
Ir  0.205  0.500  0.705
Ir  0.795  0.500  0.295

Summary:
Electronic total energy ... -6.12 eV/atom
Formation enthalpy at 0 K ... -2.3 eV per formula unit